# Pr4Ni3Bi8

A relaxed structure of Pr4Ni3Bi8 (PBE, Alexandria via LeMat-Bulk).

Cell lengths 4.598, 4.598, 19.511 Å; angles 90.00, 90.00, 90.00 degrees
Atoms (fractional coordinates):
Pr (0.000, 0.500, 0.113)
Pr (0.000, 0.500, 0.616)
Pr (0.500, 0.000, 0.384)
Pr (0.500, 0.000, 0.887)
Ni (0.000, 0.000, 0.000)
Ni (0.000, 0.000, 0.500)
Ni (0.500, 0.500, 0.500)
Bi (0.000, 0.000, 0.249)
Bi (0.000, 0.000, 0.751)
Bi (0.000, 0.500, 0.429)
Bi (0.000, 0.500, 0.934)
Bi (0.500, 0.000, 0.066)
Bi (0.500, 0.000, 0.571)
Bi (0.500, 0.500, 0.249)
Bi (0.500, 0.500, 0.751)

DOS(E_F) ... 0.633 states/eV per atom
DFT formation energy ... -0.543 eV per atom

# Pr3NiBi

A relaxed structure of Pr3NiBi (PBE, Alexandria via LeMat-Bulk).

Cell lengths 8.882, 8.882, 4.293 Å; angles 90.00, 90.00, 110.25 degrees
Atoms (fractional coordinates):
Pr (0.176, 0.428, 0.500)
Pr (0.176, 0.824, 0.000)
Pr (0.428, 0.176, 0.500)
Pr (0.572, 0.824, 0.500)
Pr (0.824, 0.176, 0.000)
Pr (0.824, 0.572, 0.500)
Ni (0.000, 0.500, 0.000)
Ni (0.500, 0.000, 0.000)
Bi (0.000, 0.000, 0.500)
Bi (0.500, 0.500, 0.000)

DOS(E_F) ... 1.096 states/eV per atom
DFT formation energy ... -0.362 eV per atom
Energy above the lowest structure with this stoichiometry ... 0 meV per atom

# Pr5Ni2Bi

A relaxed structure of Pr5Ni2Bi (PBE, Alexandria via LeMat-Bulk).

Cell lengths 8.970, 8.970, 8.970 Å; angles 126.44, 126.44, 79.17 degrees
Atoms (fractional coordinates):
Pr (0.000, 0.000, 0.000)
Pr (0.020, 0.520, 0.811)
Pr (0.209, 0.020, 0.500)
Pr (0.291, 0.791, 0.811)
Pr (0.480, 0.291, 0.500)
Pr (0.500, 0.500, 0.000)
Pr (0.520, 0.709, 0.500)
Pr (0.709, 0.209, 0.189)
Pr (0.791, 0.980, 0.500)
Pr (0.980, 0.480, 0.189)
Ni (0.129, 0.371, 0.500)
Ni (0.371, 0.871, 0.242)
Ni (0.629, 0.129, 0.758)
Ni (0.871, 0.629, 0.500)
Bi (0.250, 0.250, 0.000)
Bi (0.750, 0.750, 0.000)

DOS(E_F) ... 1.130 states/eV per atom
DFT formation energy ... -0.369 eV per atom

# Pr5NiBi2

A relaxed structure of Pr5NiBi2 (PBE, Alexandria via LeMat-Bulk).

Cell lengths 8.937, 8.937, 13.763 Å; angles 90.00, 90.00, 143.21 degrees
Atoms (fractional coordinates):
Pr (0.057, 0.943, 0.608)
Pr (0.057, 0.943, 0.892)
Pr (0.278, 0.722, 0.589)
Pr (0.278, 0.722, 0.911)
Pr (0.307, 0.693, 0.250)
Pr (0.693, 0.307, 0.750)
Pr (0.722, 0.278, 0.089)
Pr (0.722, 0.278, 0.411)
Pr (0.943, 0.057, 0.108)
Pr (0.943, 0.057, 0.392)
Ni (0.169, 0.831, 0.750)
Ni (0.831, 0.169, 0.250)
Bi (0.137, 0.863, 0.107)
Bi (0.137, 0.863, 0.393)
Bi (0.863, 0.137, 0.607)
Bi (0.863, 0.137, 0.893)

DOS(E_F) ... 1.359 states/eV per atom
DFT formation energy ... -0.142 eV per atom

# PrNiBi

A relaxed structure of PrNiBi (PBE, Alexandria via LeMat-Bulk).

Cell lengths 4.482, 4.482, 4.287 Å; angles 90.00, 90.00, 120.00 degrees
Atoms (fractional coordinates):
Pr (0.000, 0.000, 0.000)
Ni (0.333, 0.667, 0.568)
Bi (0.667, 0.333, 0.501)

DOS(E_F) ... 0.488 states/eV per atom
DFT formation energy ... -0.536 eV per atom

# PrNi2Bi2

A relaxed structure of PrNi2Bi2 (PBE, Alexandria via LeMat-Bulk).

Cell lengths 4.664, 4.664, 10.235 Å; angles 90.00, 90.00, 90.00 degrees
Atoms (fractional coordinates):
Pr (0.250, 0.250, 0.231)
Pr (0.750, 0.750, 0.769)
Ni (0.250, 0.250, 0.625)
Ni (0.250, 0.750, 0.000)
Ni (0.750, 0.250, 0.000)
Ni (0.750, 0.750, 0.375)
Bi (0.250, 0.250, 0.875)
Bi (0.250, 0.750, 0.500)
Bi (0.750, 0.250, 0.500)
Bi (0.750, 0.750, 0.125)

DOS(E_F) ... 0.526 states/eV per atom
DFT formation energy ... -0.341 eV per atom